(1)
DFT (PBEsol) results for crystalline SiPPt2 at its relaxed geometry.

It has space group F-43m (No. 216), with a = 6.175 Å, b = 6.175 Å, c = 6.175 Å, α = 90.00°, β = 90.00° and γ = 90.00°. The inequivalent atoms are Si at (0.000, 0.000, 0.000), P at (0.250, 0.250, 0.250), Pt at (0.000, 0.000, 0.500) and Pt at (0.250, 0.250, 0.750).

As for the total energy: -98.590 eV/cell. The calculation puts the density of states at the Fermi level at 0.87 states/eV per atom. The value obtained for the total magnetization is 0.0 μB/f.u.



(2)
DFT (PBEsol) results for crystalline SiPPt2 at its relaxed geometry.

It has space group C2/m (No. 12), with a = 7.309 Å, b = 2.845 Å, c = 5.775 Å, α = 90.00°, β = 101.95° and γ = 90.00°. The inequivalent atoms are Si at (0.000, 0.000, 0.000), P at (0.000, 0.500, 0.500) and Pt at (0.243, 0.500, 0.232).

As for the total energy: -53.231 eV/cell. The calculation puts the density of states at the Fermi level at 0.39 states/eV per atom. The value obtained for the total magnetization is 0.0 μB/f.u.



(3)
DFT (PBEsol) results for crystalline SiPPt2 at its relaxed geometry.

It has space group I-42d (No. 122), with a = 4.128 Å, b = 4.128 Å, c = 14.936 Å, α = 90.00°, β = 90.00° and γ = 90.00°. The inequivalent atoms are Si at (0.000, 0.000, 0.000), P at (0.000, 0.000, 0.500) and Pt at (0.239, 0.250, 0.625).

As for the total energy: -108.828 eV/cell. The calculation puts the density of states at the Fermi level at 0.37 states/eV per atom. The value obtained for the total magnetization is 0.0 μB/f.u.



(4)
DFT (PBEsol) results for crystalline SiP2Pt at its relaxed geometry.

It has space group Cmmm (No. 65), with a = 5.374 Å, b = 6.647 Å, c = 3.202 Å, α = 90.00°, β = 90.00° and γ = 90.00°. The inequivalent atoms are Si at (0.000, 0.000, 0.000), P at (0.250, 0.250, 0.500) and Pt at (0.000, 0.500, 0.000).

As for the total energy: -46.673 eV/cell. The calculation puts the density of states at the Fermi level at 0.37 states/eV per atom. The value obtained for the total magnetization is 0.0 μB/f.u.



(5)
DFT (PBEsol) results for crystalline SiP2Pt at its relaxed geometry.

It has space group Fmmm (No. 69), with a = 4.919 Å, b = 5.055 Å, c = 9.311 Å, α = 90.00°, β = 90.00° and γ = 90.00°. The inequivalent atoms are Si at (0.000, 0.000, 0.000), P at (0.000, 0.250, 0.250) and Pt at (0.000, 0.000, 0.500).

As for the total energy: -98.036 eV/cell. The calculation puts the density of states at the Fermi level at 0.38 states/eV per atom. The value obtained for the total magnetization is 0.0 μB/f.u.



(6)
DFT (PBEsol) results for crystalline SiP2Pt at its relaxed geometry.

It has space group I4/mmm (No. 139), with a = 4.270 Å, b = 4.270 Å, c = 6.275 Å, α = 90.00°, β = 90.00° and γ = 90.00°. The inequivalent atoms are Si at (0.000, 0.000, 0.000), P at (0.000, 0.500, 0.250) and Pt at (0.000, 0.000, 0.500).

As for the total energy: -46.317 eV/cell. The calculation puts the density of states at the Fermi level at 0.63 states/eV per atom. The value obtained for the total magnetization is 0.0 μB/f.u.



(7)
DFT (PBEsol) results for crystalline Si2PPt at its relaxed geometry.

It has space group R-3m (No. 166, hexagonal axes), with a = 3.3043 Å, b = 3.3043 Å, c = 18.8019 Å, α = 90.00°, β = 90.00° and γ = 120.00°. The inequivalent atoms are Si at (0.0000, 0.0000, 0.2474), P at (0.0000, 0.0000, 0.5000) and Pt at (0.0000, 0.0000, 0.0000).

As for the total energy: -75.869 eV/cell. The calculation puts the density of states at the Fermi level at 0.32 states/eV per atom. The value obtained for the total magnetization is 0.0 μB/f.u.



(8)
DFT (PBEsol) results for crystalline Si2PPt at its relaxed geometry.

It has space group Cm (No. 8), with a = 7.019 Å, b = 3.366 Å, c = 5.933 Å, α = 90.00°, β = 115.26° and γ = 90.00°. The inequivalent atoms are Si at (0.000, 0.000, 0.000), Si at (0.181, 0.000, 0.745), P at (0.065, 0.500, 0.452) and Pt at (0.270, 0.500, 0.227).

As for the total energy: -49.923 eV/cell. The calculation puts the density of states at the Fermi level at 0.24 states/eV per atom. The value obtained for the total magnetization is 0.0 μB/f.u.



- density of states at the Fermi level of number 5 (SiP2Pt)?
  0.38 states/eV per atom



- What is the formula in the seventh record?
  Si2PPt



What did the sixth record say?
DFT (PBEsol) results for crystalline SiP2Pt at its relaxed geometry.

It has space group I4/mmm (No. 139), with a = 4.270 Å, b = 4.270 Å, c = 6.275 Å, α = 90.00°, β = 90.00° and γ = 90.00°. The inequivalent atoms are Si at (0.000, 0.000, 0.000), P at (0.000, 0.500, 0.250) and Pt at (0.000, 0.000, 0.500).

As for the total energy: -46.317 eV/cell. The calculation puts the density of states at the Fermi level at 0.63 states/eV per atom. The value obtained for the total magnetization is 0.0 μB/f.u.